1.
Density functional theory data (PBE-GGA) for a relaxed structure of In5I5Br.

```
In5I5Br
1.0
6.660 0.000 0.000
-3.330 7.613 -0.078
0.000 -2.944 9.144
In I Br
5 5 1
direct
0.845 0.689 0.176
0.840 0.680 0.668
0.500 0.000 0.000
0.160 0.320 0.332
0.155 0.311 0.824
0.676 0.351 0.334
0.672 0.345 0.840
0.000 0.000 0.500
0.328 0.655 0.160
0.324 0.649 0.666
0.000 0.000 0.000
```

Summary:
Density: 4.631 g cm⁻³
Uncorrected formation energy: -0.47 eV/atom
Symmetry: No. 12
N(E_F): 3.44 states/eV/cell

***

2.
Density functional theory data (PBE-GGA) for a relaxed structure of MnNb2H2.

```
MnNb2H2
1.0
3.013 0.000 0.000
0.000 3.013 0.000
1.507 1.507 5.845
H Nb Mn
2 2 1
direct
0.750 0.250 0.500
0.250 0.750 0.500
0.366 0.366 0.268
0.634 0.634 0.732
0.000 0.000 0.000
```

Summary:
Density: 7.596 g cm⁻³
ΔE to the lowest computed polymorph: 0 kJ/mol of formula units
Symmetry: No. 139
N(E_F): 3.13 states/eV/cell

***

3.
Density functional theory data (PBE-GGA) for a relaxed structure of NpInRh2.

```
NpInRh2
1.0
4.720 0.000 0.000
2.360 4.091 -0.022
2.360 1.387 3.848
Np Rh In
1 2 1
direct
0.250 0.250 0.250
0.500 0.500 0.500
0.000 0.000 0.000
0.750 0.750 0.750
```

Summary:
Density: 12.437 g cm⁻³
Uncorrected energy: -31.898 eV per cell
Symmetry: No. 225
N(E_F): 9.37 states/eV/cell

***

4.
Density functional theory data (PBE-GGA) for a relaxed structure of Y5Tl2Pt2.

```
Y5Tl2Pt2
1.0
7.333 0.000 0.000
0.000 7.510 -3.860
0.000 -0.186 8.872
Y Tl Pt
10 4 4
direct
0.000 0.000 0.000
0.500 0.500 0.000
0.843 0.800 0.242
0.157 0.442 0.242
0.343 0.942 0.242
0.657 0.300 0.242
0.157 0.200 0.758
0.843 0.558 0.758
0.657 0.058 0.758
0.343 0.700 0.758
0.000 0.213 0.427
0.500 0.713 0.427
0.000 0.787 0.573
0.500 0.287 0.573
0.636 0.875 0.000
0.364 0.125 0.000
0.136 0.625 0.000
0.864 0.375 0.000
```

Summary:
Density: 8.545 g cm⁻³
Uncorrected energy: -111.551 eV per cell
Symmetry: No. 64
N(E_F): 19.36 states/eV/cell

***

5.
Density functional theory data (PBE-GGA) for a relaxed structure of Dy2AuSe.

```
Dy2AuSe
1.0
3.943 0.000 0.000
1.971 3.414 0.000
1.971 1.138 7.583
Dy Au Se
2 1 1
direct
0.081 0.081 0.756
0.252 0.252 0.244
0.668 0.668 0.996
0.498 0.498 0.505
```

Summary:
Density: 9.775 g cm⁻³
Uncorrected formation energy: -1.20 eV/atom
ΔE to the lowest computed polymorph: 46 kJ/mol of formula units
Symmetry: No. 160
N(E_F): 2.44 states/eV/cell

***

6.
Density functional theory data (PBE-GGA) for a relaxed structure of Cs2CuPd2.

```
Cs2CuPd2
1.0
-4.191 5.437 -1.144
-3.789 -3.845 -4.393
-3.321 -1.653 4.310
Cs Cu Pd
4 2 4
direct
0.184 0.684 0.500
0.684 0.816 0.500
0.816 0.316 0.500
0.316 0.184 0.500
0.000 0.000 0.000
0.500 0.500 0.000
0.359 0.859 0.000
0.859 0.641 0.000
0.641 0.141 0.000
0.141 0.359 0.000
```

Summary:
Density: 6.537 g cm⁻³
Uncorrected energy: -29.717 eV per cell
Symmetry: No. 127
N(E_F): 4.08 states/eV/cell

***

7.
Density functional theory data (PBE-GGA) for a relaxed structure of Pr4NdDy8.

```
Pr4NdDy8
1.0
-4.721 -5.196 -3.535
-2.621 -2.368 7.021
-5.690 5.413 -0.318
Pr Nd Dy
4 1 8
direct
0.500 0.000 0.500
0.000 0.500 0.500
0.500 0.500 0.000
0.000 0.000 0.000
0.500 0.500 0.500
0.238 0.760 0.238
0.762 0.762 0.240
0.762 0.240 0.762
0.240 0.762 0.762
0.761 0.761 0.761
0.239 0.239 0.239
0.760 0.238 0.238
0.238 0.238 0.760
```

Summary:
Density: 6.867 g cm⁻³
Uncorrected energy: -53.936 eV per cell
Symmetry: No. 166
N(E_F): 22.67 states/eV/cell

***

8.
Density functional theory data (PBE-GGA) for a relaxed structure of LaY2HgC.

```
LaY2HgC
1.0
4.931 0.000 0.000
0.000 5.235 0.000
0.000 0.000 4.931
Y C Hg La
2 1 1 1
direct
0.000 0.000 0.500
0.500 0.000 0.000
0.000 0.000 0.000
0.000 0.500 0.000
0.500 0.500 0.500
```

Summary:
Density: 6.904 g cm⁻³
ΔE to the lowest computed polymorph: 242 kJ/mol of formula units
Symmetry: No. 123
N(E_F): 4.34 states/eV/cell

***

9.
Density functional theory data (PBE-GGA) for a relaxed structure of K2PS5.

```
K2PS5
1.0
-7.330 -0.494 -3.589
3.484 -3.970 -4.529
0.479 -1.195 6.634
K P S
2 1 5
direct
0.302 0.828 0.509
0.800 0.278 0.525
0.858 0.952 0.901
0.845 0.280 0.052
0.175 0.088 0.014
0.861 0.819 0.104
0.280 0.842 0.996
0.656 0.689 0.453
```

Summary:
Density: 1.766 g cm⁻³
Uncorrected formation energy: -0.64 eV/atom
Symmetry: No. 1
N(E_F): 1.68 states/eV/cell

***

10.
Density functional theory data (PBE-GGA) for a relaxed structure of SbWCl2.

```
SbWCl2
1.0
8.751 0.000 0.000
0.000 8.751 0.000
4.375 4.375 2.630
Sb W Cl
2 2 4
direct
0.500 0.500 0.000
0.250 0.750 0.500
0.000 0.000 0.000
0.750 0.250 0.500
0.755 0.125 0.250
0.995 0.625 0.250
0.375 0.245 0.750
0.875 0.005 0.750
```

Summary:
Density: 6.209 g cm⁻³
Uncorrected formation energy: 0.25 eV/atom
ΔE to the lowest computed polymorph: 146 kJ/mol of formula units
Symmetry: No. 122
N(E_F): 0.05 states/eV/cell

***

11.
Density functional theory data (PBE-GGA) for a relaxed structure of NbTlBi3.

```
NbTlBi3
1.0
5.572 0.000 0.000
0.000 5.572 0.000
0.000 0.000 5.572
Tl Bi Nb
1 3 1
direct
0.500 0.500 0.500
0.000 0.500 0.000
0.000 0.000 0.500
0.500 0.000 0.000
0.000 0.000 0.000
```

Summary:
Density: 8.874 g cm⁻³
ΔE to the lowest computed polymorph: 0 kJ/mol of formula units
Symmetry: No. 221
N(E_F): 3.63 states/eV/cell

***

12.
Density functional theory data (PBE-GGA) for a relaxed structure of AcCeBi2.

```
AcCeBi2
1.0
-2.228 4.077 0.349
-1.138 1.681 4.193
6.098 5.831 1.906
Ac Ce Bi
1 1 2
direct
0.669 0.669 0.994
0.498 0.498 0.506
0.087 0.087 0.740
0.246 0.246 0.261
```

Summary:
Density: 8.436 g cm⁻³
ΔE to the lowest computed polymorph: 37 kJ/mol of formula units
Symmetry: No. 160
N(E_F): 7.87 states/eV/cell

***

13.
Density functional theory data (PBE-GGA) for a relaxed structure of Pr2I3Br.

```
Pr2I3Br
1.0
8.255 0.000 0.000
0.000 7.292 -4.210
0.000 0.000 8.420
Pr I Br
4 6 2
direct
0.000 0.000 0.000
0.000 0.500 0.000
0.000 0.000 0.500
0.000 0.500 0.500
0.744 0.167 0.833
0.744 0.666 0.833
0.744 0.167 0.334
0.256 0.833 0.666
0.256 0.833 0.167
0.256 0.334 0.167
0.215 0.333 0.667
0.785 0.667 0.333
```

Summary:
Density: 4.865 g cm⁻³
Uncorrected formation energy: -1.39 eV/atom
ΔE to the lowest computed polymorph: 0 kJ/mol of formula units
Symmetry: No. 164
N(E_F): 6.90 states/eV/cell

***

14.
Density functional theory data (PBE-GGA) for a relaxed structure of GaH2Pd9Pb3.

```
GaH2Pd9Pb3
1.0
5.714 0.000 0.000
-2.857 4.949 0.000
0.000 0.000 8.602
Ga H Pd Pb
1 2 9 3
direct
0.000 0.000 0.500
0.333 0.667 0.102
0.667 0.333 0.898
0.830 0.170 0.716
0.830 0.660 0.716
0.340 0.170 0.716
0.660 0.830 0.284
0.170 0.340 0.284
0.170 0.830 0.284
0.500 0.000 0.000
0.000 0.500 0.000
0.500 0.500 0.000
0.333 0.667 0.628
0.000 0.000 0.000
0.667 0.333 0.372
```

Summary:
Density: 11.272 g cm⁻³
Uncorrected energy: -71.333 eV per cell
Symmetry: No. 164
N(E_F): 4.77 states/eV/cell

***

15.
Density functional theory data (PBE-GGA) for a relaxed structure of TiReH2.

```
TiReH2
1.0
-1.771 -3.094 2.016
-1.605 -1.368 -3.511
1.900 -4.722 -1.417
Re H Ti
2 4 2
direct
0.000 0.000 0.000
0.750 0.250 0.500
0.633 0.125 0.250
0.117 0.625 0.250
0.375 0.367 0.750
0.875 0.883 0.750
0.500 0.500 0.000
0.250 0.750 0.500
```

Summary:
Density: 10.579 g cm⁻³
ΔE to the lowest computed polymorph: 0 kJ/mol of formula units
Symmetry: No. 122
N(E_F): 4.65 states/eV/cell

***

16.
Density functional theory data (PBE-GGA) for a relaxed structure of Sb2TeS2.

```
Sb2TeS2
1.0
-3.038 0.217 -2.528
-1.405 -8.911 0.923
-3.843 6.982 8.317
Sb Te S
4 2 4
direct
0.168 0.982 0.335
0.832 0.018 0.665
0.346 0.636 0.692
0.654 0.364 0.308
0.228 0.665 0.455
0.772 0.335 0.545
0.099 0.130 0.197
0.901 0.870 0.803
0.394 0.206 0.788
0.606 0.794 0.212
```

Summary:
Density: 4.039 g cm⁻³
Uncorrected formation energy: -0.12 eV/atom
Symmetry: No. 12

***

17.
Density functional theory data (PBE-GGA) for a relaxed structure of SrTa2Hg.

```
SrTa2Hg
1.0
-0.165 0.644 3.706
2.907 -2.332 0.535
4.586 5.544 -0.759
Hg Sr Ta
1 1 2
direct
0.500 0.500 0.250
0.500 0.500 0.750
0.000 0.000 0.084
0.000 0.000 0.416
```

Summary:
Density: 10.527 g cm⁻³
Uncorrected energy: -22.166 eV per cell
Symmetry: No. 123
N(E_F): 6.52 states/eV/cell

***

18.
Density functional theory data (PBE-GGA) for a relaxed structure of CsSrY2.

```
CsSrY2
1.0
0.000 4.441 4.441
4.441 0.000 4.441
4.441 4.441 0.000
Cs Y Sr
1 2 1
direct
0.500 0.500 0.500
0.250 0.250 0.250
0.750 0.750 0.750
0.000 0.000 0.000
```

Summary:
Density: 3.775 g cm⁻³
ΔE to the lowest computed polymorph: 0 kJ/mol of formula units
Symmetry: No. 225
N(E_F): 7.90 states/eV/cell

***

19.
Density functional theory data (PBE-GGA) for a relaxed structure of NiGe2Mo2.

```
NiGe2Mo2
1.0
-1.313 -4.936 -3.419
-2.865 -2.561 4.798
-3.335 1.655 -1.108
Ni Mo Ge
2 4 4
direct
0.000 0.000 0.000
0.500 0.500 0.000
0.172 0.672 0.500
0.672 0.828 0.500
0.828 0.328 0.500
0.328 0.172 0.500
0.359 0.859 0.000
0.859 0.641 0.000
0.641 0.141 0.000
0.141 0.359 0.000
```

Summary:
Density: 8.957 g cm⁻³
Uncorrected energy: -72.982 eV per cell
Symmetry: No. 127
N(E_F): 7.08 states/eV/cell

***

20.
Density functional theory data (PBE-GGA) for a relaxed structure of Er2In2Ag.

```
Er2In2Ag
1.0
3.441 0.000 0.000
0.000 4.478 -1.453
0.000 0.082 7.877
Er In Ag
2 2 1
direct
0.000 0.694 0.388
0.000 0.922 0.845
0.500 0.305 0.610
0.500 0.510 0.021
0.500 0.110 0.221
```

Summary:
Density: 9.162 g cm⁻³
ΔE to the lowest computed polymorph: 0 kJ/mol of formula units
Symmetry: No. 38
N(E_F): 3.85 states/eV/cell

***

21.
Density functional theory data (PBE-GGA) for a relaxed structure of BaAlTeN2.

```
BaAlTeN2
1.0
-3.433 -2.544 -1.232
1.592 -3.342 2.465
-2.837 1.775 4.240
N Te Ba Al
2 1 1 1
direct
0.000 0.500 0.000
0.500 0.000 0.000
0.000 0.000 0.500
0.500 0.500 0.500
0.000 0.000 0.000
```

Summary:
Density: 4.974 g cm⁻³
Uncorrected formation energy: 0.38 eV/atom
ΔE to the lowest computed polymorph: 0 kJ/mol of formula units
Symmetry: No. 123
N(E_F): 1.37 states/eV/cell

***

22.
Density functional theory data (PBE-GGA) for a relaxed structure of KHIrCl.

```
KHIrCl
1.0
3.066 0.000 -0.001
0.000 6.121 0.000
-3.024 0.000 8.428
K H Ir Cl
2 2 2 2
direct
0.578 0.000 0.104
0.578 0.500 0.604
0.375 0.000 0.398
0.375 0.500 0.898
0.002 0.000 0.527
0.002 0.500 0.027
0.702 0.000 0.730
0.702 0.500 0.230
```

Summary:
Density: 5.623 g cm⁻³
ΔE to the lowest computed polymorph: 56 kJ/mol of formula units
Symmetry: No. 8

***

23.
Density functional theory data (PBE-GGA) for a relaxed structure of Ca3PuTl2F12.

```
Ca3PuTl2F12
1.0
-5.864 5.402 -2.913
-7.568 1.123 3.678
-2.226 7.122 4.049
Ca Pu Tl F
3 1 2 12
direct
0.500 0.000 0.000
0.000 0.500 0.000
0.000 0.000 0.500
0.000 0.000 0.000
0.578 0.578 0.578
0.422 0.422 0.422
0.335 0.335 0.907
0.937 0.937 0.308
0.308 0.937 0.937
0.907 0.335 0.335
0.937 0.308 0.937
0.335 0.907 0.335
0.665 0.665 0.093
0.063 0.063 0.692
0.692 0.063 0.063
0.093 0.665 0.665
0.063 0.692 0.063
0.665 0.093 0.665
```

Summary:
Density: 4.176 g cm⁻³
Uncorrected formation energy: -3.27 eV/atom
Symmetry: No. 166

***

24.
Density functional theory data (PBE-GGA) for a relaxed structure of Sm2Sb3PtRh4.

```
Sm2Sb3PtRh4
1.0
4.168 0.000 0.000
0.000 4.168 0.000
0.000 0.000 11.865
Sm Sb Pt Rh
2 3 1 4
direct
0.500 0.000 0.276
0.000 0.500 0.724
0.000 0.000 0.500
0.500 0.000 0.868
0.000 0.500 0.132
0.500 0.500 0.500
0.500 0.500 0.000
0.000 0.000 0.000
0.500 0.000 0.656
0.000 0.500 0.344
```

Summary:
Density: 10.252 g cm⁻³
Uncorrected formation energy: -0.74 eV/atom
Symmetry: No. 115
N(E_F): 5.20 states/eV/cell